Compound: Fe4Co5Ni2
Source: Alexandria via LeMat-Bulk
Functional: PBE
Structure: optimized geometry

Cell lengths 4.5864, 4.5535, 8.3966 Å; angles 82.09, 74.15, 59.76 degrees
Fractional positions:
Fe (0.2108, 0.3187, 0.2596)
Fe (0.4705, 0.3187, 0.7404)
Fe (0.7892, 0.6813, 0.7404)
Fe (0.5295, 0.6813, 0.2596)
Co (0.0000, 0.5000, 0.0000)
Co (0.5000, 0.0000, 0.0000)
Co (0.7500, 0.5000, 0.5000)
Co (0.5000, 0.5000, 0.0000)
Co (0.2500, 0.5000, 0.5000)
Ni (0.1924, 0.0000, 0.6153)
Ni (0.8076, 0.0000, 0.3847)

N(E_F), states/eV/atom: 1.007
DFT total energy, eV per atom: -6.886
Magnetic moment, μB/f.u.: 20.2
Energy of formation from the pure elements, meV/atom: 472

Compound: ScInS3
Source: Alexandria via LeMat-Bulk
Functional: PBE
Structure: optimized geometry

Cell lengths 4.9766, 4.9766, 4.9766 Å; angles 90.00, 90.00, 90.00 degrees
Fractional positions:
S (0.5000, 0.0000, 0.0000)
S (0.0000, 0.0000, 0.5000)
S (0.0000, 0.5000, 0.0000)
In (0.5000, 0.5000, 0.5000)
Sc (0.0000, 0.0000, 0.0000)

N(E_F), states/eV/atom: 1.047
DFT total energy, eV per atom: -4.897
Magnetic moment, μB/f.u.: 0.0
Formation energy without anion corrections, meV/atom: -606
Energy relative to the lowest polymorph listed for this composition, eV per formula unit: 2.96

Compound: SrGePt2
Source: Alexandria via LeMat-Bulk
Functional: PBE
Structure: optimized geometry

Cell lengths 5.1729, 5.1729, 8.9276 Å; angles 73.16, 73.16, 90.00 degrees
Fractional positions:
Sr (0.0000, 0.0000, 0.0000)
Sr (0.7500, 0.2500, 0.5000)
Pt (0.3750, 0.5884, 0.7500)
Pt (0.8750, 0.6616, 0.7500)
Pt (0.3384, 0.6250, 0.2500)
Pt (0.4116, 0.1250, 0.2500)
Ge (0.2500, 0.7500, 0.5000)
Ge (0.5000, 0.5000, 0.0000)

N(E_F), states/eV/atom: 0.787
DFT total energy, eV per atom: -5.194
Magnetic moment, μB/f.u.: 0.0
Energy of formation from the pure elements, meV/atom: -599